Entry 1:
! Ca2LaFe (meta-GGA SCAN, single point on PBEsol structure); values from VASP
! SG	I4/mmm (139)
! ΔE to the lowest computed polymorph	231	meV per atom
&SYSTEM
  ibrav = 0, nat = 4, ntyp = 3
/
ATOMIC_SPECIES
Ca 40.08 Ca.upf
Fe 55.84 Fe.upf
La 138.91 La.upf
CELL_PARAMETERS angstrom
4.4451 0.0000 0.0000
0.0000 4.4451 0.0000
-2.2226 -2.2226 5.4768
ATOMIC_POSITIONS crystal
Ca 0.7500 0.2500 0.5000
Ca 0.2500 0.7500 0.5000
Fe 0.5000 0.5000 0.0000
La 0.0000 0.0000 0.0000



Entry 2:
! BaInSb2 (meta-GGA SCAN, single point on PBEsol structure); values from VASP
! SG	Imm2 (44)
! ΔE_f (raw)	-431.4	meV per atom
&SYSTEM
  ibrav = 0, nat = 4, ntyp = 3
/
ATOMIC_SPECIES
In 114.82 In.upf
Sb 121.76 Sb.upf
Ba 137.33 Ba.upf
CELL_PARAMETERS angstrom
-3.9028 0.7448 -0.6794
-1.2066 -5.4186 0.9905
1.8489 3.4603 5.1303
ATOMIC_POSITIONS crystal
In 0.7256 0.2256 0.4512
Sb 0.9897 0.9897 0.9795
Sb 0.2838 0.7838 0.5677
Ba 0.5008 0.5008 0.0016



Entry 3:
! NbPtCl2 (meta-GGA SCAN, single point on PBEsol structure); values from VASP
! SG	Fm-3m (225)
! ΔE_f (raw)	341.5	meV per atom
! ΔE to the lowest computed polymorph	498	meV per atom
&SYSTEM
  ibrav = 0, nat = 4, ntyp = 3
/
ATOMIC_SPECIES
Pt 195.08 Pt.upf
Nb 92.91 Nb.upf
Cl 35.45 Cl.upf
CELL_PARAMETERS angstrom
4.4583 0.0000 0.0000
2.2292 3.8610 0.0000
2.2292 1.2870 3.6402
ATOMIC_POSITIONS crystal
Pt 0.5000 0.5000 0.5000
Nb 0.0000 0.0000 0.0000
Cl 0.2500 0.2500 0.2500
Cl 0.7500 0.7500 0.7500



Entry 4:
! MnAg2Ir (meta-GGA SCAN, single point on PBEsol structure); values from VASP
! SG	P4/mmm (123)
! ΔE to the lowest computed polymorph	52	meV per atom
&SYSTEM
  ibrav = 0, nat = 4, ntyp = 3
/
ATOMIC_SPECIES
Ir 192.22 Ir.upf
Ag 107.87 Ag.upf
Mn 54.94 Mn.upf
CELL_PARAMETERS angstrom
-3.4796 0.8168 -1.3000
-1.5243 -1.4835 3.1481
0.1852 3.7276 1.8463
ATOMIC_POSITIONS crystal
Ir 0.5000 0.0000 0.5000
Ag 0.5000 0.5000 0.0000
Ag 0.0000 0.0000 0.0000
Mn 0.0000 0.5000 0.5000



Entry 5:
! KIn2Pt2 (meta-GGA SCAN, single point on PBEsol structure); values from VASP
! SG	P4/mbm (127)
! ΔE to the lowest computed polymorph	10	meV per atom
&SYSTEM
  ibrav = 0, nat = 10, ntyp = 3
/
ATOMIC_SPECIES
K 39.10 K.upf
Pt 195.08 Pt.upf
In 114.82 In.upf
CELL_PARAMETERS angstrom
-1.0670 -1.8422 1.9422
7.7459 -2.0975 2.2659
-0.0349 6.0594 5.7284
ATOMIC_POSITIONS crystal
K 0.0000 0.0000 0.0000
K 0.0000 0.5000 0.5000
Pt 0.0000 0.8407 0.6593
Pt 0.0000 0.6593 0.1593
Pt 0.0000 0.3407 0.8407
Pt 0.0000 0.1593 0.3407
In 0.5000 0.6361 0.8639
In 0.5000 0.1361 0.6361
In 0.5000 0.8639 0.3639
In 0.5000 0.3639 0.1361



Entry 6:
! HfZrZnO2 (meta-GGA SCAN, single point on PBEsol structure); values from VASP
! SG	P4/mmm (123)
! ΔE_f (raw)	-1243.4	meV per atom
&SYSTEM
  ibrav = 0, nat = 5, ntyp = 4
/
ATOMIC_SPECIES
O 16.00 O.upf
Zn 65.41 Zn.upf
Hf 178.49 Hf.upf
Zr 91.22 Zr.upf
CELL_PARAMETERS angstrom
3.9950 0.0000 0.0000
0.0000 3.9950 0.0000
0.0000 0.0000 5.3277
ATOMIC_POSITIONS crystal
O 0.5000 0.0000 0.0000
O 0.0000 0.5000 0.0000
Zn 0.0000 0.0000 0.5000
Hf 0.5000 0.5000 0.5000
Zr 0.0000 0.0000 0.0000



Computed DOS(E_F), in the same sequence as the records: 1.24; 0.61; 0.55; 0.46; 0.28; 0.51 states/eV per atom.